A PBEsol-optimized structure of K2Zn2Pb, computed with SCAN.

a b c (Å): 11.877 11.877 11.877
angles (deg): 162.75 162.75 24.48
Atoms (fractional coordinates):
K 0.116 0.116 0.000
K 0.884 0.884 0.000
Zn 0.250 0.750 0.500
Zn 0.750 0.250 0.500
Pb 0.500 0.500 0.000

Results
- Energy above the most stable polymorph in this dataset: 0.00 eV/f.u.
- Energy relative to the elements: 0.1 eV/f.u.